# PBE with a Hubbard U Ta2V4F, relaxed
data_Ta2V4F
_symmetry_space_group_name_H-M 'I 4/m m m'
_symmetry_Int_Tables_number 139
_symmetry_space_group_name_Hall '-I 4 2'
_cell_length_a 4.026
_cell_length_b 4.026
_cell_length_c 14.590
_cell_angle_alpha 90.00
_cell_angle_beta 90.00
_cell_angle_gamma 90.00
loop_
_atom_site_label
_atom_site_type_symbol
_atom_site_fract_x
_atom_site_fract_y
_atom_site_fract_z
_atom_site_occupancy
Ta1 Ta 0.000 0.000 0.151 1
V1 V 0.000 0.000 0.330 1
V2 V 0.000 0.500 0.000 1
F1 F 0.000 0.000 0.500 1
# Volume (Å³ per atom): 16.891
# Total energy (eV/atom): -6.97